Below is ThMgMo after structural relaxation, with properties calculated at the PBE-GGA level.

Total energy: -5.59 eV/atom

a b c (Å): 4.7456 4.7456 4.7456
angles (deg): 60.00 60.00 60.00
Fractional coordinates of all 3 atoms:
Th 0.0000 0.0000 0.0000
Mg 0.7500 0.7500 0.7500
Mo 0.5000 0.5000 0.5000

=====

Below is MgTlMo2 after structural relaxation, with properties calculated at the PBE-GGA level.

Total energy: -5.90 eV/atom

a b c (Å): 4.6410 4.6410 4.6410
angles (deg): 60.00 60.00 60.00
Fractional coordinates of all 4 atoms:
Mg 0.0000 0.0000 0.0000
Tl 0.7500 0.7500 0.7500
Mo 0.2500 0.2500 0.2500
Mo 0.5000 0.5000 0.5000

=====

Below is Mg2Zr2Mo after structural relaxation, with properties calculated at the PBE-GGA level.

Total energy: -5.99 eV/atom

a b c (Å): 7.7959 7.7959 7.7959
angles (deg): 133.99 61.80 141.07
Fractional coordinates of all 10 atoms:
Mg 0.0918 0.1362 0.2280
Mg 0.4082 0.6362 0.0444
Mg 0.5918 0.3638 0.9556
Mg 0.9082 0.8638 0.7720
Zr 0.1806 0.6573 0.8361
Zr 0.3212 0.1573 0.4767
Zr 0.6806 0.8445 0.5233
Zr 0.8212 0.3445 0.1639
Mo 0.2479 0.7479 0.5000
Mo 0.7479 0.2479 0.5000

=====

Below is MgNbNO after structural relaxation, with properties calculated at the PBE-GGA level.

Polymorph energy (0 for the lowest one): 205 meV per atom

a b c (Å): 3.0962 6.2453 5.3319
angles (deg): 90.00 90.00 90.00
Fractional coordinates of all 8 atoms:
Mg 0.0000 0.1639 0.0000
Mg 0.0000 0.8361 0.5000
Nb 0.5000 0.3535 0.5085
Nb 0.5000 0.6465 0.0085
N 0.5000 0.3412 0.8737
N 0.5000 0.6588 0.3737
O 0.0000 0.1279 0.3678
O 0.0000 0.8721 0.8678

=====

Below is MgNbNO after structural relaxation, with properties calculated at the PBE-GGA level.

Polymorph energy (0 for the lowest one): 0 meV per atom

a b c (Å): 4.3102 4.3102 4.5156
angles (deg): 90.00 90.00 90.00
Fractional coordinates of all 8 atoms:
Mg 0.2500 0.2500 0.0008
Mg 0.7500 0.7500 0.9992
Nb 0.2500 0.7500 0.5000
Nb 0.7500 0.2500 0.5000
N 0.2500 0.2500 0.5013
N 0.7500 0.7500 0.4987
O 0.2500 0.7500 0.0000
O 0.7500 0.2500 0.0000

=====

Below is MgNbNO after structural relaxation, with properties calculated at the PBE-GGA level.

Polymorph energy (0 for the lowest one): 859 meV per atom

a b c (Å): 3.4140 3.4140 7.4832
angles (deg): 90.00 90.00 90.00
Fractional coordinates of all 8 atoms:
Mg 0.2500 0.7500 0.0000
Mg 0.7500 0.2500 0.0000
Nb 0.2500 0.2500 0.3328
Nb 0.7500 0.7500 0.6672
N 0.2500 0.2500 0.8128
N 0.7500 0.7500 0.1872
O 0.2500 0.7500 0.5000
O 0.7500 0.2500 0.5000

=====

Below is MgNbNO after structural relaxation, with properties calculated at the PBE-GGA level.

Polymorph energy (0 for the lowest one): 207 meV per atom

a b c (Å): 3.3762 5.9464 5.1555
angles (deg): 90.00 90.00 90.00
Fractional coordinates of all 8 atoms:
Mg 0.0000 0.1433 0.0000
Mg 0.0000 0.8567 0.5000
Nb 0.5000 0.3782 0.4369
Nb 0.5000 0.6218 0.9369
N 0.0000 0.1979 0.4197
N 0.0000 0.8021 0.9197
O 0.5000 0.2740 0.8875
O 0.5000 0.7260 0.3875

=====

Below is MgNbNO after structural relaxation, with properties calculated at the PBE-GGA level.

Polymorph energy (0 for the lowest one): 227 meV per atom

a b c (Å): 7.2322 6.1593 4.3749
angles (deg): 90.00 90.00 90.00
Fractional coordinates of all 16 atoms:
Mg 0.1118 0.0936 0.2500
Mg 0.1118 0.4064 0.7500
Mg 0.8882 0.5936 0.2500
Mg 0.8882 0.9064 0.7500
Nb 0.3852 0.5635 0.2500
Nb 0.3852 0.9365 0.7500
Nb 0.6148 0.0635 0.2500
Nb 0.6148 0.4365 0.7500
N 0.1409 0.0709 0.7500
N 0.1409 0.4291 0.2500
N 0.8591 0.5709 0.7500
N 0.8591 0.9291 0.2500
O 0.3415 0.5981 0.7500
O 0.3415 0.9019 0.2500
O 0.6585 0.0981 0.7500
O 0.6585 0.4019 0.2500